(1)
## Cs3Cu2AuI8 (GGA-PBE)

Data for Cs3Cu2AuI8 after structural relaxation.

Unit cell a=8.155 b=8.155 c=10.711 alpha=90.00 beta=90.00 gamma=120.00
Atoms (fractional coordinates):
I1 0.165 0.330 0.331
I2 0.330 0.165 0.669
I3 0.670 0.835 0.331
I4 0.165 0.835 0.331
I5 0.667 0.333 0.011
I6 0.333 0.667 0.989
I7 0.835 0.670 0.669
I8 0.835 0.165 0.669
Cs1 0.333 0.667 0.632
Cs2 0.000 0.000 0.000
Cs3 0.667 0.333 0.368
Au1 0.000 0.000 0.500
Cu1 0.333 0.667 0.222
Cu2 0.667 0.333 0.778

calculated volume: 44.07 Å³/atom
spin magnetization: 0.00 Bohr magnetons per cell
Fermi-level density of states: 8.1 states/eV per cell
E_form (uncorrected): -702 meV/atom

---

(2)
## ZrSnMo3 (GGA-PBE)

Data for ZrSnMo3 after structural relaxation.

Unit cell a=4.831 b=4.831 c=4.831 alpha=90.00 beta=90.00 gamma=90.00
Atoms (fractional coordinates):
Zr1 0.000 0.000 0.000
Mo1 0.000 0.000 0.500
Mo2 0.000 0.500 0.000
Mo3 0.500 0.000 0.000
Sn1 0.500 0.500 0.500

calculated volume: 22.55 Å³/atom
spin magnetization: 0.00 Bohr magnetons per cell
Fermi-level density of states: 6.1 states/eV per cell
formation energy from the elements: 1853.4 meV/atom
relative energy among the computed polymorphs: 54 meV/atom

---

(3)
## AsSe2SF (GGA-PBE)

Data for AsSe2SF after structural relaxation.

Unit cell a=5.153 b=5.153 c=3.911 alpha=90.00 beta=90.00 gamma=90.00
Atoms (fractional coordinates):
F1 0.000 0.000 0.000
Se1 0.000 0.500 0.000
Se2 0.500 0.000 0.000
As1 0.000 0.000 0.500
S1 0.500 0.500 0.500

calculated volume: 20.77 Å³/atom
spin magnetization: 0.00 Bohr magnetons per cell
Fermi-level density of states: 3.9 states/eV per cell
E_form (uncorrected): 698 meV/atom
relative energy among the computed polymorphs: 176 meV/atom

---

(4)
## Mg5Ga2AgSn2 (GGA-PBE)

Data for Mg5Ga2AgSn2 after structural relaxation.

Unit cell a=3.117 b=11.908 c=11.908 alpha=90.00 beta=90.00 gamma=90.00
Atoms (fractional coordinates):
Sn1 0.000 0.813 0.687
Sn2 0.000 0.687 0.187
Sn3 0.000 0.313 0.813
Sn4 0.000 0.187 0.313
Mg1 0.500 0.517 0.699
Mg2 0.500 0.017 0.801
Mg3 0.500 0.699 0.483
Mg4 0.500 0.983 0.199
Mg5 0.500 0.199 0.017
Mg6 0.500 0.301 0.517
Mg7 0.500 0.500 0.000
Mg8 0.500 0.483 0.301
Mg9 0.500 0.801 0.983
Mg10 0.500 0.000 0.500
Ag1 0.000 0.500 0.500
Ag2 0.000 0.000 0.000
Ga1 0.000 0.359 0.141
Ga2 0.000 0.641 0.859
Ga3 0.000 0.859 0.359
Ga4 0.000 0.141 0.641

calculated volume: 22.10 Å³/atom
spin magnetization: 0.00 Bohr magnetons per cell
Fermi-level density of states: 5.8 states/eV per cell
formation energy from the elements: -101.8 meV/atom

---

(5)
## DyAl3Ni2 (GGA-PBE)

Data for DyAl3Ni2 after structural relaxation.

Unit cell a=3.981 b=5.270 c=5.270 alpha=60.00 beta=90.00 gamma=90.00
Atoms (fractional coordinates):
Al1 0.500 0.500 0.000
Al2 0.500 0.000 0.500
Al3 0.500 0.500 0.500
Ni1 0.000 0.667 0.667
Ni2 0.000 0.333 0.333
Dy1 0.000 0.000 0.000

calculated volume: 15.96 Å³/atom
spin magnetization: 0.00 Bohr magnetons per cell
Fermi-level density of states: 3.9 states/eV per cell
formation energy from the elements: -636.1 meV/atom

---

(6)
## BaPt2Pb (GGA-PBE)

Data for BaPt2Pb after structural relaxation.

Unit cell a=5.961 b=5.961 c=5.961 alpha=136.58 beta=136.58 gamma=63.08
Atoms (fractional coordinates):
Pt1 0.000 0.000 0.000
Pt2 0.250 0.750 0.500
Pb1 0.750 0.250 0.500
Ba1 0.500 0.500 0.000

calculated volume: 24.70 Å³/atom
spin magnetization: 0.00 Bohr magnetons per cell
Fermi-level density of states: 1.5 states/eV per cell
formation energy from the elements: -166.3 meV/atom

---

(7)
## MnMoIr2 (GGA-PBE)

Data for MnMoIr2 after structural relaxation.

Unit cell a=4.333 b=4.333 c=4.333 alpha=60.00 beta=60.00 gamma=60.00
Atoms (fractional coordinates):
Mo1 0.500 0.500 0.500
Ir1 0.750 0.750 0.750
Ir2 0.250 0.250 0.250
Mn1 0.000 0.000 0.000

calculated volume: 14.38 Å³/atom
spin magnetization: 0.00 Bohr magnetons per cell
Fermi-level density of states: 8.8 states/eV per cell
formation energy from the elements: 342.0 meV/atom
relative energy among the computed polymorphs: 595 meV/atom

---

(8)
## PmWN3 (GGA-PBE)

Data for PmWN3 after structural relaxation.

Unit cell a=3.991 b=3.991 c=3.991 alpha=90.00 beta=90.00 gamma=90.00
Atoms (fractional coordinates):
W1 0.000 0.000 0.000
Pm1 0.500 0.500 0.500
N1 0.500 0.000 0.000
N2 0.000 0.000 0.500
N3 0.000 0.500 0.000

calculated volume: 12.71 Å³/atom
spin magnetization: 0.00 Bohr magnetons per cell
Fermi-level density of states: 0.9 states/eV per cell
E_form (uncorrected): -843 meV/atom

---

(9)
## CeZnC (GGA-PBE)

Data for CeZnC after structural relaxation.

Unit cell a=3.721 b=3.721 c=8.956 alpha=101.99 beta=101.99 gamma=90.00
Each line ends with the local moment (μB).
Atoms (fractional coordinates):
Ce1 0.678 0.678 0.356  0.24
Ce2 0.322 0.322 0.644  0.24
C1 0.816 0.816 0.632  -0.01
C2 0.184 0.184 0.368  -0.01
Zn1 0.067 0.067 0.134  0.00
Zn2 0.933 0.933 0.866  0.00

calculated volume: 19.75 Å³/atom
spin magnetization: 0.53 Bohr magnetons per cell
Fermi-level density of states: 4.7 states/eV per cell
formation energy from the elements: 24.2 meV/atom

---

(10)
## Pr3HgRhCl (GGA-PBE)

Data for Pr3HgRhCl after structural relaxation.

Unit cell a=4.300 b=7.677 c=10.750 alpha=100.95 beta=90.00 gamma=90.00
Atoms (fractional coordinates):
Pr1 0.250 0.695 0.440
Pr2 0.250 0.074 0.861
Pr3 0.750 0.926 0.139
Pr4 0.750 0.305 0.560
Pr5 0.750 0.426 0.126
Pr6 0.250 0.574 0.874
Cl1 0.250 0.071 0.602
Cl2 0.750 0.929 0.398
Rh1 0.250 0.678 0.147
Rh2 0.750 0.322 0.853
Hg1 0.250 0.281 0.307
Hg2 0.750 0.719 0.693

calculated volume: 29.04 Å³/atom
spin magnetization: 0.00 Bohr magnetons per cell
Fermi-level density of states: 7.6 states/eV per cell
E_form (uncorrected): -788 meV/atom

---

(11)
## KNaLi2In (GGA-PBE)

Data for KNaLi2In after structural relaxation.

Unit cell a=5.581 b=5.788 c=5.581 alpha=90.00 beta=90.00 gamma=90.00
Atoms (fractional coordinates):
In1 0.000 0.500 0.000
Na1 0.000 0.000 0.000
K1 0.500 0.500 0.500
Li1 0.000 0.000 0.500
Li2 0.500 0.000 0.000

calculated volume: 36.06 Å³/atom
spin magnetization: 0.00 Bohr magnetons per cell
Fermi-level density of states: 3.6 states/eV per cell
formation energy from the elements: 243.4 meV/atom
relative energy among the computed polymorphs: 207 meV/atom

---

(12)
## CrNi2Cl (GGA-PBE)

Data for CrNi2Cl after structural relaxation.

Unit cell a=6.329 b=6.329 c=6.329 alpha=154.49 beta=145.23 gamma=43.62
Each line ends with the local moment (μB).
Atoms (fractional coordinates):
Cl1 0.431 0.431 0.000  -0.01
Cr1 0.270 0.770 0.500  2.11
Ni1 0.093 0.093 0.000  0.15
Ni2 0.706 0.206 0.500  0.12

calculated volume: 15.52 Å³/atom
spin magnetization: 2.52 Bohr magnetons per cell
Fermi-level density of states: 4.2 states/eV per cell
E_form (uncorrected): 336 meV/atom
relative energy among the computed polymorphs: 146 meV/atom

---

(13)
## Zr2MnW (GGA-PBE)

Data for Zr2MnW after structural relaxation.

Unit cell a=3.279 b=4.796 c=4.450 alpha=90.00 beta=90.00 gamma=90.00
Atoms (fractional coordinates):
Mn1 0.500 0.000 0.500
W1 0.000 0.500 0.500
Zr1 0.500 0.500 0.000
Zr2 0.000 0.000 0.000

calculated volume: 17.50 Å³/atom
spin magnetization: 0.00 Bohr magnetons per cell
Fermi-level density of states: 4.6 states/eV per cell
formation energy from the elements: 285.1 meV/atom
relative energy among the computed polymorphs: 239 meV/atom

---

(14)
## BaV3Br (GGA-PBE)

Data for BaV3Br after structural relaxation.

Unit cell a=5.158 b=5.158 c=5.158 alpha=90.00 beta=90.00 gamma=90.00
Each line ends with the local moment (μB).
Atoms (fractional coordinates):
V1 0.500 0.000 0.000  2.13
V2 0.000 0.000 0.500  2.13
V3 0.000 0.500 0.000  2.13
Br1 0.500 0.500 0.500  0.08
Ba1 0.000 0.000 0.000  -0.07

calculated volume: 27.45 Å³/atom
spin magnetization: 7.64 Bohr magnetons per cell
Fermi-level density of states: 16.0 states/eV per cell
E_form (uncorrected): 2462 meV/atom
relative energy among the computed polymorphs: 1340 meV/atom

---

(15)
## Sr2CuP2O8 (GGA-PBE)

Data for Sr2CuP2O8 after structural relaxation.

Unit cell a=6.364 b=6.364 c=6.685 alpha=74.96 beta=74.96 gamma=47.57
Each line ends with the local moment (μB).
Atoms (fractional coordinates):
P1 0.857 0.857 0.710  0.00
P2 0.143 0.143 0.290  0.00
Cu1 0.500 0.500 0.500  0.62
Sr1 0.170 0.170 0.783  0.00
Sr2 0.830 0.830 0.217  0.00
O1 0.950 0.950 0.833  0.00
O2 0.050 0.050 0.167  0.00
O3 0.728 0.728 0.858  0.02
O4 0.114 0.624 0.564  0.07
O5 0.272 0.272 0.142  0.02
O6 0.624 0.114 0.564  0.07
O7 0.886 0.376 0.436  0.07
O8 0.376 0.886 0.436  0.07

calculated volume: 14.74 Å³/atom
spin magnetization: 1.01 Bohr magnetons per cell
Fermi-level density of states: 0.0 states/eV per cell
E_form (uncorrected): -2452 meV/atom

---

(16)
## KIn2Bi2 (GGA-PBE)

Data for KIn2Bi2 after structural relaxation.

Unit cell a=5.571 b=5.571 c=6.907 alpha=66.22 beta=66.22 gamma=90.00
Atoms (fractional coordinates):
In1 0.626 0.626 0.748
In2 0.374 0.374 0.252
Bi1 0.750 0.250 0.500
Bi2 0.250 0.750 0.500
K1 0.000 0.000 0.000

calculated volume: 35.22 Å³/atom
spin magnetization: 0.00 Bohr magnetons per cell
Fermi-level density of states: 2.5 states/eV per cell
formation energy from the elements: -156.7 meV/atom
relative energy among the computed polymorphs: 39 meV/atom

---

(17)
## NaCeIn4 (GGA-PBE)

Data for NaCeIn4 after structural relaxation.

Unit cell a=3.415 b=5.116 c=9.064 alpha=90.00 beta=90.01 gamma=90.00
Each line ends with the local moment (μB).
Atoms (fractional coordinates):
In1 0.000 0.500 0.833  0.01
In2 0.000 0.000 0.337  0.00
In3 0.000 0.500 0.167  0.01
In4 0.000 0.000 0.663  0.00
Na1 0.500 0.500 0.500  0.00
Ce1 0.500 0.000 0.000  0.89

calculated volume: 26.39 Å³/atom
spin magnetization: 1.17 Bohr magnetons per cell
Fermi-level density of states: 7.1 states/eV per cell
formation energy from the elements: -238.7 meV/atom
relative energy among the computed polymorphs: 0 meV/atom

---

(18)
## Ca2MgIn6Pd (GGA-PBE)

Data for Ca2MgIn6Pd after structural relaxation.

Unit cell a=7.196 b=7.196 c=12.950 alpha=73.87 beta=73.87 gamma=60.00
Atoms (fractional coordinates):
In1 0.666 0.074 0.594
In2 0.778 0.778 0.096
In3 0.926 0.334 0.406
In4 0.778 0.349 0.096
In5 0.222 0.651 0.904
In6 0.334 0.334 0.406
In7 0.074 0.666 0.594
In8 0.666 0.666 0.594
In9 0.334 0.926 0.406
In10 0.349 0.778 0.096
In11 0.651 0.222 0.904
In12 0.222 0.222 0.904
Ca1 0.897 0.897 0.308
Ca2 0.721 0.721 0.837
Ca3 0.279 0.279 0.163
Ca4 0.103 0.103 0.692
Pd1 0.500 0.500 0.500
Pd2 0.000 0.000 0.000
Mg1 0.573 0.573 0.281
Mg2 0.427 0.427 0.719

calculated volume: 27.50 Å³/atom
spin magnetization: 0.00 Bohr magnetons per cell
Fermi-level density of states: 10.0 states/eV per cell
formation energy from the elements: -252.1 meV/atom

---

(19)
## MnReAs2 (GGA-PBE)

Data for MnReAs2 after structural relaxation.

Unit cell a=4.606 b=4.606 c=4.502 alpha=76.28 beta=76.28 gamma=40.48
Each line ends with the local moment (μB).
Atoms (fractional coordinates):
Mn1 0.487 0.487 0.574  2.76
As1 0.995 0.995 0.060  -0.05
As2 0.755 0.755 0.671  -0.09
Re1 0.263 0.263 0.195  -0.15

calculated volume: 15.00 Å³/atom
spin magnetization: 2.42 Bohr magnetons per cell
Fermi-level density of states: 1.8 states/eV per cell
formation energy from the elements: 81.9 meV/atom
relative energy among the computed polymorphs: 26 meV/atom

---

(20)
## PrLuCdTc (GGA-PBE)

Data for PrLuCdTc after structural relaxation.

Unit cell a=5.094 b=5.094 c=5.094 alpha=60.00 beta=60.00 gamma=60.00
Atoms (fractional coordinates):
Lu1 0.000 0.000 0.000
Tc1 0.250 0.250 0.250
Pr1 0.500 0.500 0.500
Cd1 0.750 0.750 0.750

calculated volume: 23.36 Å³/atom
spin magnetization: 0.00 Bohr magnetons per cell
Fermi-level density of states: 2.8 states/eV per cell
formation energy from the elements: -19.1 meV/atom

---

(21)
## Li2MgHRu (GGA-PBE)

Data for Li2MgHRu after structural relaxation.

Unit cell a=3.957 b=3.957 c=3.832 alpha=90.00 beta=90.00 gamma=90.00
Each line ends with the local moment (μB).
Atoms (fractional coordinates):
Li1 0.500 0.000 0.000  0.00
Li2 0.000 0.500 0.000  0.00
Ru1 0.000 0.000 0.500  0.20
H1 0.000 0.000 0.000  0.00
Mg1 0.500 0.500 0.500  0.00

calculated volume: 12.00 Å³/atom
calculated total energy: -0.1347 Ha/atom
spin magnetization: 0.20 Bohr magnetons per cell
Fermi-level density of states: 2.4 states/eV per cell

---

(22)
## UTi2S6 (GGA-PBE)

Data for UTi2S6 after structural relaxation.

Unit cell a=4.740 b=6.433 c=7.350 alpha=71.24 beta=71.19 gamma=68.38
Each line ends with the local moment (μB).
Atoms (fractional coordinates):
U1 0.000 0.500 0.500  1.48
S1 0.033 0.135 0.799  -0.04
S2 0.731 0.677 0.861  -0.02
S3 0.360 0.710 0.570  -0.05
S4 0.640 0.290 0.430  -0.05
S5 0.269 0.323 0.139  -0.02
S6 0.967 0.865 0.201  -0.04
Ti1 0.189 0.704 0.918  0.17
Ti2 0.811 0.296 0.082  0.17

calculated volume: 21.32 Å³/atom
spin magnetization: 1.66 Bohr magnetons per cell
Fermi-level density of states: 9.8 states/eV per cell
E_form (uncorrected): -1196 meV/atom
relative energy among the computed polymorphs: 89 meV/atom

---

(23)
## CrTc2BiP (GGA-PBE)

Data for CrTc2BiP after structural relaxation.

Unit cell a=4.498 b=4.997 c=4.498 alpha=90.00 beta=90.00 gamma=90.00
Each line ends with the local moment (μB).
Atoms (fractional coordinates):
Tc1 0.500 0.000 0.000  0.87
Tc2 0.000 0.000 0.500  0.96
P1 0.500 0.500 0.500  -0.05
Cr1 0.000 0.000 0.000  -0.43
Bi1 0.000 0.500 0.000  0.01

calculated volume: 20.22 Å³/atom
spin magnetization: 1.55 Bohr magnetons per cell
Fermi-level density of states: 5.0 states/eV per cell
formation energy from the elements: 1390.8 meV/atom

---

(24)
## Tl2SnHg4 (GGA-PBE)

Data for Tl2SnHg4 after structural relaxation.

Unit cell a=3.277 b=3.451 c=22.170 alpha=69.25 beta=90.00 gamma=118.34
Atoms (fractional coordinates):
Hg1 0.792 0.585 0.648
Hg2 0.259 0.517 0.935
Hg3 0.208 0.415 0.352
Hg4 0.741 0.483 0.065
Sn1 0.000 0.000 0.500
Tl1 0.220 0.440 0.207
Tl2 0.780 0.560 0.793

calculated volume: 28.86 Å³/atom
spin magnetization: 0.00 Bohr magnetons per cell
Fermi-level density of states: 2.1 states/eV per cell
formation energy from the elements: 13.6 meV/atom
relative energy among the computed polymorphs: 0 meV/atom

---

(25)
## Ba3InAu2 (GGA-PBE)

Data for Ba3InAu2 after structural relaxation.

Unit cell a=4.080 b=4.080 c=12.565 alpha=90.00 beta=90.00 gamma=90.00
Atoms (fractional coordinates):
In1 0.500 0.500 0.500
Ba1 0.000 0.000 0.320
Ba2 0.000 0.000 0.680
Ba3 0.000 0.000 0.000
Au1 0.500 0.500 0.840
Au2 0.500 0.500 0.160

calculated volume: 34.87 Å³/atom
spin magnetization: 0.00 Bohr magnetons per cell
Fermi-level density of states: 5.6 states/eV per cell
formation energy from the elements: -582.7 meV/atom

---

(26)
## K2LaCl (GGA-PBE)

Data for K2LaCl after structural relaxation.

Unit cell a=3.717 b=3.717 c=11.320 alpha=90.00 beta=90.00 gamma=90.00
Each line ends with the local moment (μB).
Atoms (fractional coordinates):
La1 0.500 0.500 0.250  0.10
K1 0.000 0.000 0.919  0.00
K2 0.000 0.000 0.581  0.00
Cl1 0.500 0.500 0.750  0.00

calculated volume: 39.11 Å³/atom
spin magnetization: 0.19 Bohr magnetons per cell
Fermi-level density of states: 4.6 states/eV per cell
E_form (uncorrected): -663 meV/atom
relative energy among the computed polymorphs: 32 meV/atom